Entry 1:
The following is a PBE calculation of an optimized crystal structure of K2PaNbN4, from Alexandria via LeMat-Bulk.

Cell: 3.406 6.697 5.870 Å, 73.40 90.00 90.00°
Fractional coordinates of all 8 atoms:
N1 0.000 0.668 0.759
N2 0.000 0.332 0.241
N3 0.500 0.333 0.713
N4 0.500 0.667 0.287
K1 0.500 0.000 0.500
K2 0.000 0.000 0.000
Pa1 0.500 0.500 0.000
Nb1 0.000 0.500 0.500

Electronic total energy (eV per atom): -7.777
ΔE_f (raw) (meV/atom): -894
Theoretical density (g/cm³): 5.93

---

Entry 2:
The following is a PBE calculation of an optimized crystal structure of Si2HgBr, from Alexandria via LeMat-Bulk.

Cell: 7.342 7.342 7.342 Å, 30.60 30.60 30.60°
Fractional coordinates of all 4 atoms:
Hg1 0.736 0.736 0.736
Br1 0.506 0.506 0.506
Si1 0.277 0.277 0.277
Si2 0.981 0.981 0.981

Electronic total energy (eV per atom): -3.057
Offset from the most stable computed form (meV/atom): 0
Fermi-level density of states (states/eV per cell): 1.31
ΔE_f (raw) (meV/atom): 148
Theoretical density (g/cm³): 6.15